Record 1
The following is a DFT calculation (PBE) of crystalline Li2Ni2Mo at its relaxed geometry.

Lattice parameters (Å, degrees): 6.823 6.823 2.552 90.00 90.00 90.00
Sites, in units of the cell vectors:
Ni  0.307  0.193  0.500
Ni  0.693  0.807  0.500
Ni  0.807  0.307  0.500
Ni  0.193  0.693  0.500
Li  0.391  0.891  0.000
Li  0.891  0.609  0.000
Li  0.609  0.109  0.000
Li  0.109  0.391  0.000
Mo  0.000  0.000  0.000
Mo  0.500  0.500  0.000

E_form (eV/atom): 0.19
Energy relative to the lowest polymorph listed for this composition (meV per atom): 0

Record 2
The following is a DFT calculation (PBE) of crystalline LiNi2Mo at its relaxed geometry.

Lattice parameters (Å, degrees): 6.109 4.476 2.589 90.05 64.84 124.01
Sites, in units of the cell vectors:
Ni  0.000  0.000  0.000
Ni  0.500  0.000  0.500
Mo  0.500  0.500  0.000
Li  0.000  0.500  0.500

E_form (eV/atom): 0.08
Energy relative to the lowest polymorph listed for this composition (meV per atom): 63

Record 3
The following is a DFT calculation (PBE) of crystalline LiNi2Mo at its relaxed geometry.

Lattice parameters (Å, degrees): 5.321 5.321 5.321 152.00 132.06 56.43
Sites, in units of the cell vectors:
Li  0.512  0.512  0.000
Ni  0.992  0.992  0.000
Ni  0.777  0.277  0.500
Mo  0.219  0.719  0.500

E_form (eV/atom): 0.12
Energy relative to the lowest polymorph listed for this composition (meV per atom): 106

Record 4
The following is a DFT calculation (PBE) of crystalline LiNi6Mo at its relaxed geometry.

Lattice parameters (Å, degrees): 6.198 6.198 10.133 90.00 90.00 109.45
Each line ends with the local moment (μB).
Sites, in units of the cell vectors:
Li  0.745  0.255  0.250  -0.01
Li  0.255  0.745  0.250  -0.01
Li  0.000  0.000  0.496  0.00
Li  0.000  0.000  0.004  0.00
Ni  0.124  0.374  0.375  0.13
Ni  0.626  0.876  0.125  0.13
Ni  0.000  0.000  0.250  0.31
Ni  0.374  0.125  0.625  0.01
Ni  0.750  0.250  0.500  0.05
Ni  0.875  0.626  0.875  0.01
Ni  0.626  0.875  0.625  0.01
Ni  0.125  0.374  0.625  0.01
Ni  0.626  0.875  0.875  0.01
Ni  0.374  0.125  0.875  0.01
Ni  0.750  0.250  0.000  0.05
Ni  0.626  0.876  0.375  0.13
Ni  0.250  0.750  0.000  0.05
Ni  0.125  0.374  0.875  0.01
Ni  0.876  0.626  0.125  0.13
Ni  0.374  0.124  0.125  0.13
Ni  0.000  0.000  0.750  0.01
Ni  0.876  0.626  0.375  0.13
Ni  0.875  0.626  0.625  0.01
Ni  0.500  0.500  0.750  -0.01
Ni  0.250  0.750  0.500  0.05
Ni  0.500  0.500  0.250  0.08
Ni  0.124  0.374  0.125  0.13
Ni  0.374  0.124  0.375  0.13
Mo  0.748  0.252  0.750  -0.03
Mo  0.252  0.748  0.750  -0.03
Mo  0.500  0.500  0.489  -0.05
Mo  0.500  0.500  0.011  -0.05

E_form (eV/atom): -0.06

Record 5
The following is a DFT calculation (PBE) of crystalline LiNiMo2 at its relaxed geometry.

Lattice parameters (Å, degrees): 4.364 2.577 5.076 76.65 90.00 90.00
Sites, in units of the cell vectors:
Mo  0.000  0.982  0.003
Mo  0.000  0.518  0.497
Li  0.500  0.750  0.750
Ni  0.500  0.250  0.250

E_form (eV/atom): 0.25
Energy relative to the lowest polymorph listed for this composition (meV per atom): 94

Record 6
The following is a DFT calculation (PBE) of crystalline LiNiMo2 at its relaxed geometry.

Lattice parameters (Å, degrees): 4.658 4.658 4.658 131.98 131.98 70.26
Sites, in units of the cell vectors:
Mo  0.250  0.750  0.500
Mo  0.000  0.000  0.000
Ni  0.500  0.500  0.000
Li  0.750  0.250  0.500

E_form (eV/atom): 0.34
Energy relative to the lowest polymorph listed for this composition (meV per atom): 187

no.,theoretical density (Mg/m³),energy (eV/f.u.)
1,6.35,-25.29
2,7.26,-24.00
3,7.01,-23.82
4,8.23,-47.92
5,7.70,-28.36
6,7.81,-27.99